LaPrSm6 | PBE | optimized geometry

CIF file:
```
data_LaPrSm6
_symmetry_space_group_name_H-M 'P 4/m m m'
_symmetry_Int_Tables_number 123
_symmetry_space_group_name_Hall '-P 4 2'
_cell_length_a 5.169
_cell_length_b 5.169
_cell_length_c 10.338
_cell_angle_alpha 90.00
_cell_angle_beta 90.00
_cell_angle_gamma 90.00
loop_
_atom_site_label
_atom_site_fract_x
_atom_site_fract_y
_atom_site_fract_z
La1 0.000 0.000 0.000
Pr1 0.000 0.000 0.500
Sm1 0.000 0.500 0.251
Sm2 0.500 0.500 0.000
Sm3 0.500 0.500 0.500
```

Results
Theoretical density = 7.11 g cm⁻³
Magnetization = 0.0 μB per formula unit
E = -4.735 eV per atom

***

La3CdSn | PBE | optimized geometry

CIF file:
```
data_La3CdSn
_symmetry_space_group_name_H-M 'P -1'
_symmetry_Int_Tables_number 2
_cell_length_a 5.030
_cell_length_b 7.371
_cell_length_c 9.213
_cell_angle_alpha 100.18
_cell_angle_beta 90.07
_cell_angle_gamma 109.89
loop_
_symmetry_equiv_pos_as_xyz
'x,y,z'
'-x,-y,-z'
loop_
_atom_site_label
_atom_site_fract_x
_atom_site_fract_y
_atom_site_fract_z
La1 0.042 0.084 0.311
La2 0.246 0.493 0.701
La3 0.437 0.874 0.113
Cd1 0.186 0.371 0.049
Sn1 0.388 0.776 0.450
```

Results
Theoretical density = 6.82 g cm⁻³
Magnetization = 0.0 μB per formula unit
E = -4.353 eV per atom

***

RbPmSb4 | PBE | optimized geometry

CIF file:
```
data_RbPmSb4
_symmetry_space_group_name_H-M 'F -4 3 m'
_symmetry_Int_Tables_number 216
_symmetry_space_group_name_Hall 'F -4 2 3'
_cell_length_a 9.107
_cell_length_b 9.107
_cell_length_c 9.107
_cell_angle_alpha 90.00
_cell_angle_beta 90.00
_cell_angle_gamma 90.00
loop_
_atom_site_label
_atom_site_fract_x
_atom_site_fract_y
_atom_site_fract_z
Rb1 0.000 0.000 0.000
Pm1 0.250 0.250 0.250
Sb1 0.124 0.124 0.624
```

Results
Theoretical density = 6.31 g cm⁻³
ΔE_f (raw) = -0.1892 eV per atom
Magnetization = 0.0 μB per formula unit
E = -3.891 eV per atom

***

Please write out number 2 again, unchanged.
La3CdSn | PBE | optimized geometry

CIF file:
```
data_La3CdSn
_symmetry_space_group_name_H-M 'P -1'
_symmetry_Int_Tables_number 2
_cell_length_a 5.030
_cell_length_b 7.371
_cell_length_c 9.213
_cell_angle_alpha 100.18
_cell_angle_beta 90.07
_cell_angle_gamma 109.89
loop_
_symmetry_equiv_pos_as_xyz
'x,y,z'
'-x,-y,-z'
loop_
_atom_site_label
_atom_site_fract_x
_atom_site_fract_y
_atom_site_fract_z
La1 0.042 0.084 0.311
La2 0.246 0.493 0.701
La3 0.437 0.874 0.113
Cd1 0.186 0.371 0.049
Sn1 0.388 0.776 0.450
```

Results
Theoretical density = 6.82 g cm⁻³
Magnetization = 0.0 μB per formula unit
E = -4.353 eV per atom

***

Question: Among the records above, which one has the lowest theoretical density?
Answer: RbPmSb4

***

Question: Among the records above, which one has the highest theoretical density?
Answer: LaPrSm6

***

Question: Which formula does entry 2 have?
Answer: La3CdSn